(1)
PmNd2Sm2Er: relaxed, PBE-GGA.

Cell lengths 7.0696, 5.7359, 9.9480 Å; angles 90.00, 90.00, 90.00 degrees
Fractional coordinates of all 12 atoms:
Pm  0.0000  0.0000  0.0000
Pm  0.5000  0.0000  0.0000
Nd  0.0000  0.5000  0.5000
Nd  0.2500  0.0000  0.3282
Nd  0.5000  0.5000  0.5000
Nd  0.7500  0.0000  0.6718
Sm  0.2500  0.0000  0.6635
Sm  0.2500  0.5000  0.1688
Sm  0.7500  0.0000  0.3365
Sm  0.7500  0.5000  0.8312
Er  0.2500  0.5000  0.8366
Er  0.7500  0.5000  0.1634

Summary:
The value obtained for the total magnetic moment is 0.00 μB per formula unit. For the formation energy, the calculation gives 0.35 eV/f.u. The total energy is -0.34217 Ry/atom.

(2)
Tb2Cd3Ag4: relaxed, PBE-GGA.

Cell lengths 9.0277, 9.0277, 8.0672 Å; angles 90.00, 90.00, 141.99 degrees
Fractional coordinates of all 18 atoms:
Tb  0.0978  0.9022  0.8968
Tb  0.4022  0.5978  0.3968
Tb  0.5978  0.4022  0.6032
Tb  0.9022  0.0978  0.1032
Cd  0.0000  0.0000  0.5000
Cd  0.0123  0.4877  0.7500
Cd  0.4877  0.0123  0.2500
Cd  0.5000  0.5000  0.0000
Cd  0.5123  0.9877  0.7500
Cd  0.9877  0.5123  0.2500
Ag  0.1656  0.8344  0.5219
Ag  0.1801  0.3199  0.7500
Ag  0.3199  0.1801  0.2500
Ag  0.3344  0.6656  0.0219
Ag  0.6656  0.3344  0.9781
Ag  0.6801  0.8199  0.7500
Ag  0.8199  0.6801  0.2500
Ag  0.8344  0.1656  0.4781

Summary:
The value obtained for the total magnetic moment is 0.00 μB per formula unit. For the formation energy, the calculation gives -1.60 eV/f.u. The distance to the lowest polymorph of the same formula comes out at 60.6 meV per atom. The total energy is -0.20428 Ry/atom.

(3)
Ag2Pb2O: relaxed, PBE-GGA.

Cell lengths 6.3118, 6.3118, 5.3924 Å; angles 90.00, 90.00, 90.00 degrees
Fractional coordinates of all 10 atoms:
Ag  0.1695  0.3305  0.0000
Ag  0.3305  0.8305  0.0000
Ag  0.6695  0.1695  0.0000
Ag  0.8305  0.6695  0.0000
Pb  0.1798  0.6798  0.5000
Pb  0.3202  0.1798  0.5000
Pb  0.6798  0.8202  0.5000
Pb  0.8202  0.3202  0.5000
O  0.0000  0.0000  0.0000
O  0.5000  0.5000  0.0000

Summary:
The value obtained for the total magnetic moment is 0.00 μB per formula unit. The distance to the lowest polymorph of the same formula comes out at 0.0 meV per atom. As for the uncorrected formation energy: 0.57 eV per formula unit. The total energy is -0.25730 Ry/atom.

(4)
SbRhF3: relaxed, PBE-GGA.

Cell lengths 4.4675, 4.4675, 4.4675 Å; angles 90.00, 90.00, 90.00 degrees
Fractional coordinates of all 5 atoms:
Sb  0.0000  0.0000  0.0000
Rh  0.5000  0.5000  0.5000
F  0.0000  0.0000  0.5000
F  0.0000  0.5000  0.0000
F  0.5000  0.0000  0.0000

Summary:
The value obtained for the total magnetic moment is 1.04 μB per formula unit. The distance to the lowest polymorph of the same formula comes out at 0.0 meV per atom. As for the uncorrected formation energy: -4.10 eV per formula unit. The total energy is -0.31150 Ry/atom.

(5)
Tb2MgHg: relaxed, PBE-GGA.

Cell lengths 10.4518, 10.4518, 10.4518 Å; angles 19.80, 19.80, 19.80 degrees
Fractional coordinates of all 4 atoms:
Tb  0.0000  0.0000  0.0000
Tb  0.1767  0.1767  0.1767
Mg  0.7545  0.7545  0.7545
Hg  0.5881  0.5881  0.5881

Summary:
The value obtained for the total magnetic moment is 0.00 μB per formula unit. For the formation energy, the calculation gives -0.44 eV/f.u. The distance to the lowest polymorph of the same formula comes out at 179.5 meV per atom. The total energy is -0.21313 Ry/atom.

(6)
RbCrS2: relaxed, PBE-GGA.

Cell lengths 6.8333, 3.6390, 8.9811 Å; angles 90.00, 110.75, 90.00 degrees
Fractional coordinates of all 8 atoms:
Rb  0.1696  0.2500  0.3135
Rb  0.8304  0.7500  0.6865
Cr  0.4082  0.7500  0.8941
Cr  0.5918  0.2500  0.1059
S  0.2546  0.2500  0.9609
S  0.3232  0.7500  0.6454
S  0.6768  0.2500  0.3546
S  0.7454  0.7500  0.0391

Summary:
The value obtained for the total magnetic moment is 0.12 μB per formula unit. As for the uncorrected formation energy: -3.01 eV per formula unit. The total energy is -0.40150 Ry/atom.

(7)
Pm6SnPb5: relaxed, PBE-GGA.

Cell lengths 7.8884, 7.8884, 8.8023 Å; angles 94.02, 94.02, 136.40 degrees
Fractional coordinates of all 12 atoms:
Pm  0.1635  0.8337  0.7473
Pm  0.1663  0.8365  0.2527
Pm  0.4946  0.4946  0.7473
Pm  0.5054  0.5054  0.2527
Pm  0.8337  0.1635  0.7473
Pm  0.8365  0.1663  0.2527
Sn  0.0000  0.0000  0.5000
Pb  0.0000  0.0000  0.0000
Pb  0.3324  0.6676  0.0000
Pb  0.3329  0.6671  0.5000
Pb  0.6671  0.3329  0.5000
Pb  0.6676  0.3324  0.0000

Summary:
The value obtained for the total magnetic moment is 0.00 μB per formula unit. For the formation energy, the calculation gives -6.21 eV/f.u. The distance to the lowest polymorph of the same formula comes out at 15.0 meV per atom. The total energy is -0.35068 Ry/atom.

(8)
CdAs3: relaxed, PBE-GGA.

Cell lengths 3.6998, 3.6998, 7.3935 Å; angles 90.00, 90.00, 120.00 degrees
Fractional coordinates of all 4 atoms:
Cd  0.0000  0.0000  0.0000
As  0.0000  0.0000  0.5000
As  0.3333  0.6667  0.2666
As  0.3333  0.6667  0.7334

Summary:
The value obtained for the total magnetic moment is 0.00 μB per formula unit. For the formation energy, the calculation gives 0.91 eV/f.u. The distance to the lowest polymorph of the same formula comes out at 254.8 meV per atom. The total energy is -0.25639 Ry/atom.

(9)
KScNi2H: relaxed, PBE-GGA.

Cell lengths 4.9642, 4.9642, 3.7196 Å; angles 90.00, 90.00, 90.00 degrees
Fractional coordinates of all 5 atoms:
K  0.0000  0.0000  0.0000
Sc  0.5000  0.5000  0.5000
Ni  0.0000  0.5000  0.0000
Ni  0.5000  0.0000  0.0000
H  0.0000  0.0000  0.5000

Summary:
The value obtained for the total magnetic moment is 0.00 μB per formula unit. The total energy is -0.22962 Ry/atom.

(10)
DySnAu: relaxed, PBE-GGA.

Cell lengths 4.7073, 4.7073, 7.4409 Å; angles 90.00, 90.00, 120.00 degrees
Fractional coordinates of all 6 atoms:
Dy  0.0000  0.0000  0.0000
Dy  0.0000  0.0000  0.5000
Sn  0.3333  0.6667  0.2265
Sn  0.6667  0.3333  0.7265
Au  0.3333  0.6667  0.8285
Au  0.6667  0.3333  0.3285

Summary:
The value obtained for the total magnetic moment is 0.00 μB per formula unit. For the formation energy, the calculation gives -2.46 eV/f.u. The total energy is -0.35145 Ry/atom.

(11)
Mg2RePt9: relaxed, PBE-GGA.

Cell lengths 3.9503, 3.9503, 11.9118 Å; angles 90.00, 90.00, 90.00 degrees
Fractional coordinates of all 12 atoms:
Mg  0.0000  0.0000  0.1627
Mg  0.0000  0.0000  0.8373
Re  0.0000  0.0000  0.5000
Pt  0.0000  0.5000  0.0000
Pt  0.0000  0.5000  0.3382
Pt  0.0000  0.5000  0.6618
Pt  0.5000  0.0000  0.0000
Pt  0.5000  0.0000  0.3382
Pt  0.5000  0.0000  0.6618
Pt  0.5000  0.5000  0.1677
Pt  0.5000  0.5000  0.5000
Pt  0.5000  0.5000  0.8323

Summary:
The value obtained for the total magnetic moment is 0.00 μB per formula unit. For the formation energy, the calculation gives -5.13 eV/f.u. The total energy is -0.46020 Ry/atom.

(12)
HoTm7Sc2: relaxed, PBE-GGA.

Cell lengths 8.6782, 8.6782, 5.4853 Å; angles 90.00, 90.00, 120.19 degrees
Fractional coordinates of all 10 atoms:
Ho  0.0000  0.0000  0.0000
Tm  0.0610  0.2992  0.5000
Tm  0.2345  0.7655  0.0000
Tm  0.2992  0.0610  0.5000
Tm  0.5000  0.5000  0.5000
Tm  0.7008  0.9390  0.5000
Tm  0.7655  0.2345  0.0000
Tm  0.9390  0.7008  0.5000
Sc  0.2948  0.7052  0.5000
Sc  0.7052  0.2948  0.5000

Summary:
The value obtained for the total magnetic moment is 0.00 μB per formula unit. For the formation energy, the calculation gives 6.82 eV/f.u. The total energy is -0.30663 Ry/atom.